1.
Entry from Alexandria: an optimized crystal structure of Pm6Au2C (PBE-GGA).

Computed properties:
Symmetry ... P2_1/c, No. 14
Spin magnetization ... 0.000 μB per cell
Energy ... -5.34 eV/atom

Cell lengths 6.7926, 7.3334, 12.0365 Å; angles 90.00, 123.07, 90.00 degrees
Atoms (fractional coordinates):
Pm 0.1267 0.0276 0.2396
Pm 0.1267 0.4724 0.7396
Pm 0.2323 0.7038 0.0532
Pm 0.2323 0.7962 0.5532
Pm 0.3570 0.1854 0.0540
Pm 0.3570 0.3146 0.5540
Pm 0.6430 0.6854 0.4460
Pm 0.6430 0.8146 0.9460
Pm 0.7677 0.2038 0.4468
Pm 0.7677 0.2962 0.9468
Pm 0.8733 0.5276 0.2604
Pm 0.8733 0.9724 0.7604
Au 0.2951 0.0851 0.7513
Au 0.2951 0.4149 0.2513
Au 0.7049 0.5851 0.7487
Au 0.7049 0.9149 0.2487
C 0.0000 0.0000 0.0000
C 0.0000 0.5000 0.5000

2.
Entry from Alexandria: an optimized crystal structure of Si2RhSe (PBE-GGA).

Computed properties:
Symmetry ... Cmmm, No. 65
Formation energy without anion corrections ... 29 meV per atom
Spin magnetization ... 0.000 μB per cell
Energy ... -5.39 eV/atom

Cell lengths 4.9625, 5.8191, 4.5262 Å; angles 90.00, 90.00, 90.00 degrees
Atoms (fractional coordinates):
Si 0.0000 0.2077 0.0000
Si 0.0000 0.7923 0.0000
Si 0.5000 0.2923 0.0000
Si 0.5000 0.7077 0.0000
Rh 0.0000 0.0000 0.5000
Rh 0.5000 0.5000 0.5000
Se 0.0000 0.5000 0.5000
Se 0.5000 0.0000 0.5000

3.
Entry from Alexandria: an optimized crystal structure of Y2TlFe2 (PBE-GGA).

Computed properties:
Symmetry ... P2/m, No. 10
Spin magnetization ... 0.000 μB per cell
Energy ... -6.59 eV/atom

Cell lengths 3.7672, 4.1260, 7.0662 Å; angles 90.00, 105.14, 90.00 degrees
Atoms (fractional coordinates):
Y 0.1402 0.0000 0.2775
Y 0.8598 0.0000 0.7225
Tl 0.5000 0.5000 0.0000
Fe 0.2864 0.5000 0.5737
Fe 0.7136 0.5000 0.4263

- Number 2 is which compound?
  Si2RhSe